Crystalline MnSn2Os at its relaxed geometry. Source: the Alexandria database, functional GGA-PBE.

a = 4.563 Å, b = 4.563 Å, c = 4.563 Å
α = 60.00°, β = 60.00°, γ = 60.00°
Positions (direct):
Mn 0.000 0.000 0.000
Sn 0.250 0.250 0.250
Sn 0.750 0.750 0.750
Os 0.500 0.500 0.500

Output
Calculated formation energy (eV per atom): 0.4169
Energy (eV/atom): -6.68
Symmetry: Fm-3m
Magnetization (μB per atom): 0.21